Compound: In3WF
Source: the Alexandria database
Functional: PBE with a Hubbard U
Structure: optimized geometry

- spin magnetization (μB/cell) = 4.03
- distance to the lowest polymorph of the same formula (meV per atom) = 0
- electronic total energy (eV per cell) = -16.741

Unit cell a=4.924 b=4.924 c=4.924 alpha=90.00 beta=90.00 gamma=90.00
Space group Pm-3m (No. 221)
Unique sites:
In1 0.000 0.000 0.500 (multiplicity 3)
W1 0.500 0.500 0.500 (multiplicity 1)
F1 0.000 0.000 0.000 (multiplicity 1)